1.
# Be3NiB | Alexandria | GGA-PBE | relaxed
data_Be3NiB
_space_group_name_H-M_alt 'P m -3 m'
_space_group_IT_number 221
_space_group_name_Hall '-P 4 2 3'
_cell_length_a 3.5556
_cell_length_b 3.5556
_cell_length_c 3.5556
_cell_angle_alpha 90.00
_cell_angle_beta 90.00
_cell_angle_gamma 90.00
loop_
_atom_site_label
_atom_site_type_symbol
_atom_site_fract_x
_atom_site_fract_y
_atom_site_fract_z
_atom_site_occupancy
Be1 Be 0.0000 0.0000 0.5000 1
Ni1 Ni 0.5000 0.5000 0.5000 1
B1 B 0.0000 0.0000 0.0000 1
# Relative energy among the computed polymorphs (eV per atom): 0.0000
# DFT formation energy (eV/atom): 0.202
# DOS at the Fermi energy (states/eV per atom): 0.22

=====

2.
# FeAgRh | Alexandria | GGA-PBE | relaxed
data_FeAgRh
_space_group_name_H-M_alt 'C 1 2/m 1'
_space_group_IT_number 12
_cell_length_a 8.5915
_cell_length_b 2.7768
_cell_length_c 7.7005
_cell_angle_alpha 90.00
_cell_angle_beta 90.68
_cell_angle_gamma 90.00
loop_
_space_group_symop_operation_xyz
'x,y,z'
'-x,-y,-z'
'-x,y,-z'
'x,-y,z'
'x+1/2,y+1/2,z'
'-x+1/2,-y+1/2,-z'
'-x+1/2,y+1/2,-z'
'x+1/2,-y+1/2,z'
loop_
_atom_site_label
_atom_site_type_symbol
_atom_site_fract_x
_atom_site_fract_y
_atom_site_fract_z
_atom_site_occupancy
Fe1 Fe 0.1354 0.0000 0.4285 1
Ag1 Ag 0.1352 0.0000 0.0845 1
Rh1 Rh 0.0926 0.5000 0.7101 1
# Relative energy among the computed polymorphs (eV per atom): 0.0417
# DFT formation energy (eV/atom): 0.212
# DOS at the Fermi energy (states/eV per atom): 0.79

=====

3.
# InRuSe | Alexandria | GGA-PBE | relaxed
data_InRuSe
_space_group_name_H-M_alt 'P 3 m 1'
_space_group_IT_number 156
_cell_length_a 3.3507
_cell_length_b 3.3507
_cell_length_c 6.1081
_cell_angle_alpha 90.00
_cell_angle_beta 90.00
_cell_angle_gamma 120.00
loop_
_space_group_symop_operation_xyz
'x,y,z'
'-y,x-y,z'
'-x+y,-x,z'
'-y,-x,z'
'-x+y,y,z'
'x,x-y,z'
loop_
_atom_site_label
_atom_site_type_symbol
_atom_site_fract_x
_atom_site_fract_y
_atom_site_fract_z
_atom_site_occupancy
In1 In 0.0000 0.0000 0.0000 1
Ru1 Ru 0.3333 0.6667 0.3399 1
Se1 Se 0.6667 0.3333 0.5838 1
# Relative energy among the computed polymorphs (eV per atom): 0.0000
# DOS at the Fermi energy (states/eV per atom): 0.54

=====

4.
# CeSmCoGe | Alexandria | GGA-PBE | relaxed
data_CeSmCoGe
_space_group_name_H-M_alt 'P 4/n m m'
_space_group_IT_number 129
_cell_length_a 4.4901
_cell_length_b 4.4901
_cell_length_c 9.6722
_cell_angle_alpha 90.00
_cell_angle_beta 90.00
_cell_angle_gamma 90.00
loop_
_space_group_symop_operation_xyz
'x,y,z'
'-x,-y,-z'
'-y+1/2,x,z'
'y+1/2,-x,-z'
'-x+1/2,-y+1/2,z'
'x+1/2,y+1/2,-z'
'y,-x+1/2,z'
'-y,x+1/2,-z'
'x+1/2,-y,-z'
'-x+1/2,y,z'
'-y,-x,-z'
'y,x,z'
'-x,y+1/2,-z'
'x,-y+1/2,z'
'y+1/2,x+1/2,-z'
'-y+1/2,-x+1/2,z'
loop_
_atom_site_label
_atom_site_type_symbol
_atom_site_fract_x
_atom_site_fract_y
_atom_site_fract_z
_atom_site_occupancy
Ce1 Ce 0.2500 0.7500 0.0000 1
Sm1 Sm 0.2500 0.2500 0.3461 1
Co1 Co 0.2500 0.2500 0.8770 1
Ge1 Ge 0.2500 0.2500 0.6429 1
# DFT formation energy (eV/atom): -0.283
# DOS at the Fermi energy (states/eV per atom): 1.26

=====

5.
# ScAg3Se | Alexandria | GGA-PBE | relaxed
data_ScAg3Se
_space_group_name_H-M_alt 'P m -3 m'
_space_group_IT_number 221
_space_group_name_Hall '-P 4 2 3'
_cell_length_a 5.1646
_cell_length_b 5.1646
_cell_length_c 5.1646
_cell_angle_alpha 90.00
_cell_angle_beta 90.00
_cell_angle_gamma 90.00
loop_
_atom_site_label
_atom_site_type_symbol
_atom_site_fract_x
_atom_site_fract_y
_atom_site_fract_z
_atom_site_occupancy
Sc1 Sc 0.0000 0.0000 0.0000 1
Ag1 Ag 0.0000 0.0000 0.5000 1
Se1 Se 0.5000 0.5000 0.5000 1
# Relative energy among the computed polymorphs (eV per atom): 0.5211
# DOS at the Fermi energy (states/eV per atom): 0.74

=====

6.
# Zr2TlCo | Alexandria | GGA-PBE | relaxed
data_Zr2TlCo
_space_group_name_H-M_alt 'I m m 2'
_space_group_IT_number 44
_cell_length_a 3.2714
_cell_length_b 4.6970
_cell_length_c 10.4024
_cell_angle_alpha 90.00
_cell_angle_beta 90.00
_cell_angle_gamma 90.00
loop_
_space_group_symop_operation_xyz
'x,y,z'
'-x,-y,z'
'-x,y,z'
'x,-y,z'
'x+1/2,y+1/2,z+1/2'
'-x+1/2,-y+1/2,z+1/2'
'-x+1/2,y+1/2,z+1/2'
'x+1/2,-y+1/2,z+1/2'
loop_
_atom_site_label
_atom_site_type_symbol
_atom_site_fract_x
_atom_site_fract_y
_atom_site_fract_z
_atom_site_occupancy
Zr1 Zr 0.0000 0.0000 0.0000 1
Zr2 Zr 0.0000 0.5000 0.2073 1
Tl1 Tl 0.0000 0.5000 0.7964 1
Co1 Co 0.0000 0.0000 0.5143 1
# DFT formation energy (eV/atom): -0.014
# DOS at the Fermi energy (states/eV per atom): 0.97

=====

7.
# LaTe2OsI | Alexandria | GGA-PBE | relaxed
data_LaTe2OsI
_space_group_name_H-M_alt 'P 4/m m m'
_space_group_IT_number 123
_space_group_name_Hall '-P 4 2'
_cell_length_a 5.3023
_cell_length_b 5.3023
_cell_length_c 5.3425
_cell_angle_alpha 90.00
_cell_angle_beta 90.00
_cell_angle_gamma 90.00
loop_
_atom_site_label
_atom_site_type_symbol
_atom_site_fract_x
_atom_site_fract_y
_atom_site_fract_z
_atom_site_occupancy
La1 La 0.0000 0.0000 0.0000 1
Te1 Te 0.0000 0.5000 0.5000 1
Os1 Os 0.5000 0.5000 0.5000 1
I1 I 0.5000 0.5000 0.0000 1
# Relative energy among the computed polymorphs (eV per atom): 0.0000
# DOS at the Fermi energy (states/eV per atom): 1.19

=====

8.
# Li2Tl2SnPb2 | Alexandria | GGA-PBE | relaxed
data_Li2Tl2SnPb2
_space_group_name_H-M_alt 'P -3 m 1'
_space_group_IT_number 164
_space_group_name_Hall '-P 3 2"'
_cell_length_a 5.0961
_cell_length_b 5.0961
_cell_length_c 9.6506
_cell_angle_alpha 90.00
_cell_angle_beta 90.00
_cell_angle_gamma 120.00
loop_
_atom_site_label
_atom_site_type_symbol
_atom_site_fract_x
_atom_site_fract_y
_atom_site_fract_z
_atom_site_occupancy
Li1 Li 0.3333 0.6667 0.4298 1
Tl1 Tl 0.3333 0.6667 0.9286 1
Sn1 Sn 0.0000 0.0000 0.5000 1
Pb1 Pb 0.0000 0.0000 0.1982 1
# DFT formation energy (eV/atom): 0.015
# DOS at the Fermi energy (states/eV per atom): 0.37

=====

9.
# CaTb2Sm | Alexandria | GGA-PBE | relaxed
data_CaTb2Sm
_space_group_name_H-M_alt 'R -3 m'
_space_group_IT_number 166
_space_group_name_Hall '-R 3 2"'
_cell_length_a 3.5718
_cell_length_b 3.5718
_cell_length_c 37.9649
_cell_angle_alpha 90.00
_cell_angle_beta 90.00
_cell_angle_gamma 120.00
loop_
_atom_site_label
_atom_site_type_symbol
_atom_site_fract_x
_atom_site_fract_y
_atom_site_fract_z
_atom_site_occupancy
Ca1 Ca 0.0000 0.0000 0.0000 1
Tb1 Tb 0.0000 0.0000 0.0908 1
Sm1 Sm 0.0000 0.0000 0.5000 1
# Relative energy among the computed polymorphs (eV per atom): 0.0982
# DFT formation energy (eV/atom): 0.155
# DOS at the Fermi energy (states/eV per atom): 1.48

=====

10.
# Sc3TlIn | Alexandria | GGA-PBE | relaxed
data_Sc3TlIn
_space_group_name_H-M_alt 'P m -3 m'
_space_group_IT_number 221
_space_group_name_Hall '-P 4 2 3'
_cell_length_a 5.3384
_cell_length_b 5.3384
_cell_length_c 5.3384
_cell_angle_alpha 90.00
_cell_angle_beta 90.00
_cell_angle_gamma 90.00
loop_
_atom_site_label
_atom_site_type_symbol
_atom_site_fract_x
_atom_site_fract_y
_atom_site_fract_z
_atom_site_occupancy
Sc1 Sc 0.0000 0.0000 0.5000 1
Tl1 Tl 0.0000 0.0000 0.0000 1
In1 In 0.5000 0.5000 0.5000 1
# Relative energy among the computed polymorphs (eV per atom): 0.6234
# DFT formation energy (eV/atom): 0.335
# DOS at the Fermi energy (states/eV per atom): 1.50

=====

11.
# LaDy2Sb | Alexandria | GGA-PBE | relaxed
data_LaDy2Sb
_space_group_name_H-M_alt 'R 3 m'
_space_group_IT_number 160
_space_group_name_Hall 'R 3 -2"'
_cell_length_a 4.0347
_cell_length_b 4.0347
_cell_length_c 29.1197
_cell_angle_alpha 90.00
_cell_angle_beta 90.00
_cell_angle_gamma 120.00
loop_
_atom_site_label
_atom_site_type_symbol
_atom_site_fract_x
_atom_site_fract_y
_atom_site_fract_z
_atom_site_occupancy
La1 La 0.0000 0.0000 0.0000 1
Dy1 Dy 0.0000 0.0000 0.5648 1
Dy2 Dy 0.0000 0.0000 0.7666 1
Sb1 Sb 0.0000 0.0000 0.1653 1
# Relative energy among the computed polymorphs (eV per atom): 0.2231
# DOS at the Fermi energy (states/eV per atom): 1.03

=====

12.
# La2MgZr | Alexandria | GGA-PBE | relaxed
data_La2MgZr
_space_group_name_H-M_alt 'P 1 2/m 1'
_space_group_IT_number 10
_cell_length_a 3.3081
_cell_length_b 5.5697
_cell_length_c 6.3236
_cell_angle_alpha 90.00
_cell_angle_beta 97.13
_cell_angle_gamma 90.00
loop_
_space_group_symop_operation_xyz
'x,y,z'
'-x,-y,-z'
'-x,y,-z'
'x,-y,z'
loop_
_atom_site_label
_atom_site_type_symbol
_atom_site_fract_x
_atom_site_fract_y
_atom_site_fract_z
_atom_site_occupancy
La1 La 0.2066 0.0000 0.2667 1
Mg1 Mg 0.5000 0.5000 0.0000 1
Zr1 Zr 0.0000 0.5000 0.5000 1
# DFT formation energy (eV/atom): 0.186
# DOS at the Fermi energy (states/eV per atom): 1.34

=====

13.
# MnBeRh | Alexandria | GGA-PBE | relaxed
data_MnBeRh
_space_group_name_H-M_alt 'F -4 3 m'
_space_group_IT_number 216
_space_group_name_Hall 'F -4 2 3'
_cell_length_a 5.4253
_cell_length_b 5.4253
_cell_length_c 5.4253
_cell_angle_alpha 90.00
_cell_angle_beta 90.00
_cell_angle_gamma 90.00
loop_
_atom_site_label
_atom_site_type_symbol
_atom_site_fract_x
_atom_site_fract_y
_atom_site_fract_z
_atom_site_occupancy
Mn1 Mn 0.0000 0.0000 0.0000 1
Be1 Be 0.0000 0.0000 0.5000 1
Rh1 Rh 0.2500 0.2500 0.7500 1
# Relative energy among the computed polymorphs (eV per atom): 0.6271
# DFT formation energy (eV/atom): 0.285
# DOS at the Fermi energy (states/eV per atom): 0.73

=====

14.
# CeSeS | Alexandria | GGA-PBE | relaxed
data_CeSeS
_space_group_name_H-M_alt 'I m m m'
_space_group_IT_number 71
_space_group_name_Hall '-I 2 2'
_cell_length_a 4.1079
_cell_length_b 5.4382
_cell_length_c 13.2276
_cell_angle_alpha 90.00
_cell_angle_beta 90.00
_cell_angle_gamma 90.00
loop_
_atom_site_label
_atom_site_type_symbol
_atom_site_fract_x
_atom_site_fract_y
_atom_site_fract_z
_atom_site_occupancy
Ce1 Ce 0.0000 0.0000 0.1463 1
Se1 Se 0.0000 0.2502 0.5000 1
S1 S 0.0000 0.5000 0.2131 1
# Relative energy among the computed polymorphs (eV per atom): 0.0000
# DOS at the Fermi energy (states/eV per atom): 1.94

=====

15.
# TeO | Alexandria | GGA-PBE | relaxed
data_TeO
_space_group_name_H-M_alt 'P 1 21/m 1'
_space_group_IT_number 11
_cell_length_a 3.1113
_cell_length_b 3.7811
_cell_length_c 6.8825
_cell_angle_alpha 90.00
_cell_angle_beta 101.53
_cell_angle_gamma 90.00
loop_
_space_group_symop_operation_xyz
'x,y,z'
'-x,-y,-z'
'-x,y+1/2,-z'
'x,-y+1/2,z'
loop_
_atom_site_label
_atom_site_type_symbol
_atom_site_fract_x
_atom_site_fract_y
_atom_site_fract_z
_atom_site_occupancy
Te1 Te 0.0922 0.2500 0.2229 1
O1 O 0.1581 0.7500 0.3395 1
# Relative energy among the computed polymorphs (eV per atom): 0.2263
# DOS at the Fermi energy (states/eV per atom): 0.29

=====

16.
# NpGa4Si | Alexandria | GGA-PBE | relaxed
data_NpGa4Si
_space_group_name_H-M_alt 'F -4 3 m'
_space_group_IT_number 216
_space_group_name_Hall 'F -4 2 3'
_cell_length_a 7.6834
_cell_length_b 7.6834
_cell_length_c 7.6834
_cell_angle_alpha 90.00
_cell_angle_beta 90.00
_cell_angle_gamma 90.00
loop_
_atom_site_label
_atom_site_type_symbol
_atom_site_fract_x
_atom_site_fract_y
_atom_site_fract_z
_atom_site_occupancy
Np1 Np 0.0000 0.0000 0.0000 1
Ga1 Ga 0.1245 0.1245 0.6245 1
Si1 Si 0.2500 0.2500 0.2500 1
# Calculated total energy (eV per atom): -4.91
# DOS at the Fermi energy (states/eV per atom): 2.34

=====

17.
# PuTh6In | Alexandria | GGA-PBE | relaxed
data_PuTh6In
_space_group_name_H-M_alt 'C 1 2/m 1'
_space_group_IT_number 12
_cell_length_a 8.3588
_cell_length_b 9.8908
_cell_length_c 6.4661
_cell_angle_alpha 90.00
_cell_angle_beta 104.43
_cell_angle_gamma 90.00
loop_
_space_group_symop_operation_xyz
'x,y,z'
'-x,-y,-z'
'-x,y,-z'
'x,-y,z'
'x+1/2,y+1/2,z'
'-x+1/2,-y+1/2,-z'
'-x+1/2,y+1/2,-z'
'x+1/2,-y+1/2,z'
loop_
_atom_site_label
_atom_site_type_symbol
_atom_site_fract_x
_atom_site_fract_y
_atom_site_fract_z
_atom_site_occupancy
Pu1 Pu 0.0000 0.0000 0.0000 1
Th1 Th 0.0929 0.1874 0.2794 1
Th2 Th 0.2203 0.5000 0.0974 1
In1 In 0.0000 0.5000 0.5000 1
# DFT formation energy (eV/atom): 0.267
# DOS at the Fermi energy (states/eV per atom): 1.64

=====

18.
# BeAgCl2 | Alexandria | GGA-PBE | relaxed
data_BeAgCl2
_space_group_name_H-M_alt 'P 4/m m m'
_space_group_IT_number 123
_space_group_name_Hall '-P 4 2'
_cell_length_a 2.9503
_cell_length_b 2.9503
_cell_length_c 10.5771
_cell_angle_alpha 90.00
_cell_angle_beta 90.00
_cell_angle_gamma 90.00
loop_
_atom_site_label
_atom_site_type_symbol
_atom_site_fract_x
_atom_site_fract_y
_atom_site_fract_z
_atom_site_occupancy
Be1 Be 0.0000 0.0000 0.0000 1
Ag1 Ag 0.0000 0.0000 0.5000 1
Cl1 Cl 0.5000 0.5000 0.1342 1
# Relative energy among the computed polymorphs (eV per atom): 0.6335
# DOS at the Fermi energy (states/eV per atom): 0.15

=====

19.
# Y3PdPt3 | Alexandria | GGA-PBE | relaxed
data_Y3PdPt3
_space_group_name_H-M_alt 'P 21 3'
_space_group_IT_number 198
_space_group_name_Hall 'P 2ac 2ab 3'
_cell_length_a 8.4819
_cell_length_b 8.4819
_cell_length_c 8.4819
_cell_angle_alpha 90.00
_cell_angle_beta 90.00
_cell_angle_gamma 90.00
loop_
_atom_site_label
_atom_site_type_symbol
_atom_site_fract_x
_atom_site_fract_y
_atom_site_fract_z
_atom_site_occupancy
Y1 Y 0.0032 0.2637 0.8774 1
Pd1 Pd 0.0780 0.4220 0.5780 1
Pt1 Pt 0.0980 0.5980 0.9020 1
Pt2 Pt 0.1623 0.1623 0.1623 1
Pt3 Pt 0.1666 0.8334 0.3334 1
# DFT formation energy (eV/atom): -1.043
# DOS at the Fermi energy (states/eV per atom): 0.51

=====

20.
# Pm3Nd4Th2 | Alexandria | GGA-PBE | relaxed
data_Pm3Nd4Th2
_space_group_name_H-M_alt 'P -1'
_space_group_IT_number 2
_cell_length_a 7.3014
_cell_length_b 8.1393
_cell_length_c 10.9505
_cell_angle_alpha 102.95
_cell_angle_beta 90.03
_cell_angle_gamma 102.86
loop_
_space_group_symop_operation_xyz
'x,y,z'
'-x,-y,-z'
loop_
_atom_site_label
_atom_site_type_symbol
_atom_site_fract_x
_atom_site_fract_y
_atom_site_fract_z
_atom_site_occupancy
Pm1 Pm 0.0804 0.3224 0.0537 1
Pm2 Pm 0.0894 0.3354 0.7240 1
Pm3 Pm 0.2551 0.9995 0.5033 1
Nd1 Nd 0.0838 0.3337 0.3889 1
Nd2 Nd 0.2526 0.0024 0.1659 1
Nd3 Nd 0.4175 0.6749 0.9426 1
Nd4 Nd 0.4229 0.6656 0.2823 1
Th1 Th 0.2521 0.9950 0.8289 1
Th2 Th 0.4161 0.6658 0.6110 1
# Relative energy among the computed polymorphs (eV per atom): 0.0000
# DFT formation energy (eV/atom): 0.048
# DOS at the Fermi energy (states/eV per atom): 1.53